DFT (PBE) results for an optimized crystal structure of Sr2LaVN4.

Cell: 7.529 7.075 5.576 Å, 90.00 90.00 90.00°
Space group Pmn2_1 (No. 31)
Symmetry-distinct sites (fractional):
Sr: 0.243 0.164 0.000 (multiplicity 4)
La: 0.000 0.376 0.505 (multiplicity 2)
V: 0.000 0.676 0.036 (multiplicity 2)
N: 0.000 0.421 0.959 (multiplicity 2)
N: 0.000 0.674 0.359 (multiplicity 2)
N: 0.213 0.799 0.958 (multiplicity 4)

The calculation puts the calculated total energy at -0.54497 Ry/atom.

DFT (PBE) results for an optimized crystal structure of SrLaWN4.

Cell: 3.999 3.999 12.978 Å, 90.00 90.00 90.00°
Space group I4mm (No. 107)
Symmetry-distinct sites (fractional):
Sr: 0.000 0.000 0.000 (multiplicity 2)
La: 0.000 0.000 0.288 (multiplicity 2)
W: 0.000 0.000 0.638 (multiplicity 2)
N: 0.000 0.000 0.490 (multiplicity 2)
N: 0.000 0.000 0.808 (multiplicity 2)
N: 0.000 0.500 0.154 (multiplicity 4)

The calculation puts the calculated total energy at -0.61427 Ry/atom.

Repeat the first record exactly.
DFT (PBE) results for an optimized crystal structure of Sr2LaVN4.

Cell: 7.529 7.075 5.576 Å, 90.00 90.00 90.00°
Space group Pmn2_1 (No. 31)
Symmetry-distinct sites (fractional):
Sr: 0.243 0.164 0.000 (multiplicity 4)
La: 0.000 0.376 0.505 (multiplicity 2)
V: 0.000 0.676 0.036 (multiplicity 2)
N: 0.000 0.421 0.959 (multiplicity 2)
N: 0.000 0.674 0.359 (multiplicity 2)
N: 0.213 0.799 0.958 (multiplicity 4)

The calculation puts the calculated total energy at -0.54497 Ry/atom.

> Number 2 is which compound?

SrLaWN4